The following is a DFT calculation (PBE with a Hubbard U) of a relaxed PbW3O crystal.

## Properties
The value obtained for the density of states at the Fermi level is 2.66 states/eV/f.u. As for the total energy: -3.221 eV per atom.

Cell: 5.626 5.626 5.626 Å, 90.00 90.00 90.00°
Space group Pm-3m (No. 221)
Unique sites:
Pb (0.000, 0.000, 0.000) (multiplicity 1)
W (0.000, 0.000, 0.500) (multiplicity 3)
O (0.500, 0.500, 0.500) (multiplicity 1)